Be2ZnCu, optimized geometry, DFT PBE; formation energy = 0.0745 eV/atom; calculated total energy = -12.525 eV/cell; V = 42.77 Å³ per cell
1.0
-0.6854 -3.4679 -1.1973
2.0580 -0.7682 1.0468
-1.3536 -1.2811 4.4853
Zn Cu Be
1 1 2
Direct
0.5000 0.7500 0.7500
0.5000 0.2500 0.2500
0.0000 0.0016 0.0163
0.0000 0.4984 0.4837

***

Sr2Li3PaF12, optimized geometry, DFT PBE; ΔE_f (raw) = -3.440 eV per atom; calculated total energy = -102.974 eV/cell; V = 227.92 Å³ per cell
1.0
6.9989 0.1868 0.1325
3.6188 5.9936 0.1325
3.6188 2.1065 5.6128
F Sr Pa Li
12 2 1 3
Direct
0.2577 0.2577 0.8506
0.8506 0.2577 0.2577
0.7423 0.1494 0.7423
0.8458 0.4097 0.8458
0.8458 0.8458 0.4097
0.1542 0.1542 0.5903
0.1542 0.5903 0.1542
0.2577 0.8506 0.2577
0.4097 0.8458 0.8458
0.5903 0.1542 0.1542
0.7423 0.7423 0.1494
0.1494 0.7423 0.7423
0.6025 0.6025 0.6025
0.3975 0.3975 0.3975
0.0000 0.0000 0.0000
0.0000 0.5000 0.0000
0.5000 0.0000 0.0000
0.0000 0.0000 0.5000

***

Pr4Nd2In, optimized geometry, DFT PBE; formation energy = -0.0592 eV/atom; calculated total energy = -31.806 eV/cell; V = 244.80 Å³ per cell
1.0
-0.4766 -3.0730 -2.0590
2.9646 -1.8448 -1.3107
1.2166 -12.9902 15.7285
Pr In Nd
4 1 2
Direct
0.0925 0.0925 0.7224
0.7090 0.7090 0.8731
0.9075 0.9075 0.2776
0.2910 0.2910 0.1269
0.0000 0.0000 0.0000
0.8088 0.8088 0.5735
0.1912 0.1912 0.4265

***

Er6Sc3Tl, optimized geometry, DFT PBE; formation energy = -0.0189 eV/atom; calculated total energy = -97.854 eV/cell; V = 558.89 Å³ per cell
1.0
-4.6690 -0.8981 0.9554
2.8338 -8.1853 6.1539
0.4112 6.8243 8.4242
Tl Er Sc
2 12 6
Direct
0.2500 0.9450 0.6075
0.7500 0.0550 0.3925
0.7500 0.9505 0.1025
0.7500 0.8437 0.8088
0.2500 0.1563 0.1912
0.7500 0.5476 0.8991
0.2500 0.0495 0.8975
0.2500 0.2474 0.5002
0.2500 0.6472 0.6985
0.2500 0.8525 0.3062
0.7500 0.3528 0.3015
0.7500 0.1475 0.6938
0.7500 0.7526 0.4998
0.2500 0.4524 0.1009
0.2500 0.3489 0.7979
0.7500 0.4509 0.6014
0.7500 0.6511 0.2021
0.2500 0.5491 0.3986
0.7500 0.2509 0.9921
0.2500 0.7491 0.0079

***

Ce2ZnC, optimized geometry, DFT PBE; formation energy = -0.1290 eV/atom; calculated total energy = -22.882 eV/cell; V = 86.06 Å³ per cell
1.0
3.5384 0.0000 0.0000
1.7692 3.0644 0.0000
1.7692 1.0215 7.9369
C Zn Ce
1 1 2
Direct
0.6663 0.6663 0.0012
0.5011 0.5011 0.4966
0.2721 0.2721 0.1838
0.0605 0.0605 0.8184

***

Al3Ir, optimized geometry, DFT PBE; formation energy = -0.4878 eV/atom; calculated total energy = -22.040 eV/cell; V = 58.10 Å³ per cell
1.0
4.7170 0.0035 0.0000
1.4969 4.4732 0.0000
-3.1070 -2.2383 2.7544
Al Ir
3 1
Direct
0.7500 0.2500 0.5000
0.5000 0.5000 0.0000
0.2500 0.7500 0.5000
0.0000 0.0000 0.0000

***

Cr2FeCoN, optimized geometry, DFT PBE; ΔE_f (raw) = -0.073 eV per atom; calculated total energy = -43.508 eV/cell; V = 52.88 Å³ per cell
1.0
-2.4144 2.1178 -1.9544
-2.7525 -0.9398 2.3820
0.8492 2.9467 2.1439
Fe Cr Co N
1 2 1 1
Direct
0.0000 0.0000 0.5000
0.0000 0.5000 0.0000
0.5000 0.0000 0.0000
0.5000 0.5000 0.5000
0.0000 0.0000 0.0000

***

CdP2Cl, optimized geometry, DFT PBE; ΔE_f (raw) = 0.496 eV per atom; calculated total energy = -11.597 eV/cell; V = 73.77 Å³ per cell
1.0
4.7076 0.0000 0.0000
2.3538 4.0769 0.0000
2.3538 1.3590 3.8437
Cl P Cd
1 2 1
Direct
0.7500 0.7500 0.7500
0.2500 0.2500 0.2500
0.0000 0.0000 0.0000
0.5000 0.5000 0.5000

***

HfSe3O, optimized geometry, DFT PBE; ΔE_f (raw) = 0.297 eV per atom; calculated total energy = -23.879 eV/cell; V = 134.18 Å³ per cell
1.0
5.1195 0.0000 0.0000
0.0000 5.1195 0.0000
0.0000 0.0000 5.1195
O Hf Se
1 1 3
Direct
0.5000 0.5000 0.5000
0.0000 0.0000 0.0000
0.0000 0.0000 0.5000
0.5000 0.0000 0.0000
0.0000 0.5000 0.0000

***

Ni3PH, optimized geometry, DFT PBE; calculated total energy = -26.816 eV/cell; V = 45.78 Å³ per cell
1.0
-2.4540 2.5826 -0.3238
-1.3808 -0.9146 3.1707
2.2063 2.3001 1.6243
Ni P H
3 1 1
Direct
0.5000 0.0000 0.0000
0.0000 0.5000 0.0000
0.0000 0.0000 0.5000
0.5000 0.5000 0.5000
0.0000 0.0000 0.0000

***

PmBeP2, optimized geometry, DFT PBE; formation energy = -0.2435 eV/atom; calculated total energy = -20.271 eV/cell; V = 70.27 Å³ per cell
1.0
-1.2206 -3.4029 1.2135
3.1150 -1.9182 -2.2458
2.6144 0.2724 3.3937
Be P Pm
1 2 1
Direct
0.5000 0.5000 0.5000
0.0000 0.5000 0.0000
0.0000 0.0000 0.5000
0.5000 0.0000 0.0000

***

ScCu2Te2, optimized geometry, DFT PBE; ΔE_f (raw) = -0.317 eV per atom; calculated total energy = -22.393 eV/cell; V = 102.91 Å³ per cell
1.0
-0.8998 0.4546 3.6285
0.3837 -3.7044 0.5592
6.7494 -0.6551 3.7101
Cu Te Sc
2 2 1
Direct
0.7500 0.2500 0.5000
0.2500 0.7500 0.5000
0.3855 0.3855 0.2291
0.6145 0.6145 0.7709
0.0000 0.0000 0.0000